Below is a geometry-optimized TmThCd structure, with properties calculated at the GGA-PBE level.

```
TmThCd
1.0
4.4530 0.0000 0.0000
0.0000 4.4530 0.0000
0.0000 0.0000 8.8569
Cd Th Tm
2 2 2
Direct
0.0000 0.0000 0.0000
0.5000 0.5000 0.0000
0.5000 0.0000 0.6166
0.0000 0.5000 0.3834
0.0000 0.5000 0.7636
0.5000 0.0000 0.2364
```

Calculated values
volume	175.62	Å³ per cell
energy relative to the lowest polymorph listed for this composition	69	kJ/mol of formula units
uncorrected energy	-4.158	eV per atom
theoretical density	9708	kg/m3
ΔE_f	110	meV per atom